A plane-wave DFT calculation with GGA-PBE was carried out for an optimized crystal structure of CsSn4Au6.

Total moment in μB per atom: 0.00
Crystal system: triclinic
Formation energy from the elements in eV/atom: -0.17
E_tot in eV per formula unit: -38.4
Mass density in g/cm3: 10.6
DOS at the Fermi energy in states/eV/f.u.: 4.33
Volume in A^3/atom: 25.37

abc: 6.9560 7.0966 7.3168
angles: 118.68 110.61 96.27
Last column: nearest neighbours and their distance in Å.
Space group P1 (No. 1)
Asymmetric unit:
Cs 0.0000 0.0000 0.0000 (multiplicity 1)  8 Au 3.51-3.84, 5 Sn 3.84-3.93
Sn 0.1446 0.2579 0.6813 (multiplicity 1)  5 Au 2.73-2.97
Sn 0.5328 0.5587 0.3709 (multiplicity 1)  6 Au 2.78-2.93
Sn 0.5892 0.9696 0.2486 (multiplicity 1)  4 Au 2.77-2.98
Sn 0.6695 0.4084 0.8025 (multiplicity 1)  4 Au 2.79-3.03
Au 0.1159 0.5367 0.0804 (multiplicity 1)  3 Sn 2.73-2.86, 2 Au 2.79-2.90
Au 0.3828 0.9524 0.5091 (multiplicity 1)  3 Au 2.79-3.01, 4 Sn 2.80-2.94
Au 0.3961 0.6581 0.7275 (multiplicity 1)  4 Sn 2.83-2.98, 2 Au 2.92-2.97
Au 0.4980 0.1607 0.9844 (multiplicity 1)  4 Sn 2.78-3.07, 2 Au 2.79-2.97
Au 0.9016 0.7749 0.3503 (multiplicity 1)  3 Sn 2.77-2.93, 3 Au 2.83-3.01
Au 0.9206 0.4473 0.4663 (multiplicity 1)  2 Sn 2.73-2.84, 2 Au 2.83-2.92

A plane-wave DFT calculation with GGA-PBE was carried out for an optimized crystal structure of Cs2SnAu2.

Total moment in μB per atom: 0.00
Crystal system: monoclinic
Formation energy from the elements in eV/atom: -0.21
Energy relative to the lowest polymorph listed for this composition in meV per atom: 68
E_tot in eV per formula unit: -13.3
Mass density in g/cm3: 5.5
DOS at the Fermi energy in states/eV/f.u.: 1.75
Volume in A^3/atom: 46.97

abc: 15.2198 6.9173 11.2145
angles: 90.00 127.28 90.00
Last column: nearest neighbours and their distance in Å.
Space group C2/m (No. 12)
Asymmetric unit:
Cs 0.1002 0.0000 0.3866 (multiplicity 4)  3 Au 3.57-3.62
Cs 0.1695 0.5000 0.0443 (multiplicity 4)  3 Au 3.65-3.86, 1 Sn 4.01
Sn 0.1740 0.5000 0.6902 (multiplicity 4)  3 Au 2.68-2.70
Au 0.0311 0.5000 0.3877 (multiplicity 4)  2 Sn 2.68-2.70
Au 0.1098 0.0000 0.0766 (multiplicity 4)  1 Au 2.68, 1 Sn 2.69

A plane-wave DFT calculation with GGA-PBE was carried out for an optimized crystal structure of CsSn3Au.

Total moment in μB per atom: 0.00
Crystal system: cubic
Formation energy from the elements in eV/atom: 0.17
Energy relative to the lowest polymorph listed for this composition in meV per atom: 345
E_tot in eV per formula unit: -15.3
Mass density in g/cm3: 6.4
DOS at the Fermi energy in states/eV/f.u.: 4.65
Volume in A^3/atom: 35.75

abc: 5.6330 5.6330 5.6330
angles: 90.00 90.00 90.00
Last column: nearest neighbours and their distance in Å.
Space group Pm-3m (No. 221)
Asymmetric unit:
Cs 0.0000 0.0000 0.0000 (multiplicity 1)  12 Sn 3.98
Sn 0.0000 0.5000 0.5000 (multiplicity 3)  2 Au 2.82
Au 0.5000 0.5000 0.5000 (multiplicity 1)  6 Sn 2.82

A plane-wave DFT calculation with GGA-PBE was carried out for an optimized crystal structure of CsSn3Au3.

Total moment in μB per atom: 0.00
Crystal system: trigonal
Formation energy from the elements in eV/atom: -0.12
Energy relative to the lowest polymorph listed for this composition in meV per atom: 111
E_tot in eV per formula unit: -23.5
Mass density in g/cm3: 7.0
DOS at the Fermi energy in states/eV/f.u.: 5.72
Volume in A^3/atom: 36.34

abc: 8.1570 8.1570 26.4910
angles: 90.00 90.00 120.00
Last column: nearest neighbours and their distance in Å.
Space group R-3 (No. 148, hexagonal axes)
Asymmetric unit:
Cs 0.0000 0.0000 0.1665 (multiplicity 6)  6 Au 3.94-3.97, 6 Sn 4.16-4.19
Sn 0.0040 0.6887 0.6167 (multiplicity 18)  4 Au 2.73-2.80
Au 0.0046 0.6500 0.3890 (multiplicity 18)  4 Sn 2.73-2.80

A plane-wave DFT calculation with GGA-PBE was carried out for an optimized crystal structure of Cs2Sn2Au3.

Total moment in μB per atom: 0.00
Crystal system: monoclinic
Formation energy from the elements in eV/atom: -0.32
Energy relative to the lowest polymorph listed for this composition in meV per atom: 19
E_tot in eV per formula unit: -21.8
Mass density in g/cm3: 7.9
DOS at the Fermi energy in states/eV/f.u.: 1.73
Volume in A^3/atom: 32.80

abc: 12.8845 4.9237 7.3946
angles: 90.00 101.83 90.00
Last column: nearest neighbours and their distance in Å.
Space group C2/m (No. 12)
Asymmetric unit:
Cs 0.1434 0.0000 0.3518 (multiplicity 4)  3 Au 3.32-3.39
Sn 0.0854 0.5000 0.8766 (multiplicity 4)  4 Au 2.78-2.94
Au 0.0000 0.5000 0.5000 (multiplicity 2)  2 Sn 2.78
Au 0.1914 0.0000 0.9274 (multiplicity 4)  3 Sn 2.80-2.94, 2 Au 2.97

A plane-wave DFT calculation with GGA-PBE was carried out for an optimized crystal structure of Cs3SnAu4.

Total moment in μB per atom: 0.00
Crystal system: orthorhombic
Formation energy from the elements in eV/atom: -0.30
E_tot in eV per formula unit: -22.0
Mass density in g/cm3: 7.5
DOS at the Fermi energy in states/eV/f.u.: 3.37
Volume in A^3/atom: 36.02

abc: 7.0348 8.7699 9.3405
angles: 90.00 90.00 90.00
Last column: nearest neighbours and their distance in Å.
Space group Imm2 (No. 44)
Asymmetric unit:
Cs 0.0000 0.0000 0.0000 (multiplicity 2)  2 Au 3.43
Cs 0.0000 0.2713 0.3326 (multiplicity 4)  7 Au 3.61-3.73, 2 Cs 3.91-4.01
Sn 0.0000 0.5000 0.8985 (multiplicity 2)  4 Au 2.73-2.76
Au 0.0000 0.2508 0.7183 (multiplicity 4)  1 Sn 2.76, 2 Au 2.90
Au 0.1990 0.0000 0.5836 (multiplicity 4)  1 Sn 2.73, 3 Au 2.80-2.90

A plane-wave DFT calculation with GGA-PBE was carried out for an optimized crystal structure of Cs2Sn2Au.

Total moment in μB per atom: 0.00
Crystal system: monoclinic
Formation energy from the elements in eV/atom: -0.23
Energy relative to the lowest polymorph listed for this composition in meV per atom: 0
E_tot in eV per formula unit: -14.1
Mass density in g/cm3: 5.8
DOS at the Fermi energy in states/eV/f.u.: 2.06
Volume in A^3/atom: 40.37

abc: 15.0622 4.5776 13.1599
angles: 90.00 117.15 90.00
Last column: nearest neighbours and their distance in Å.
Space group C2/m (No. 12)
Asymmetric unit:
Cs 0.0231 0.0000 0.1595 (multiplicity 4)  2 Au 3.68, 2 Sn 3.92, 1 Cs 3.93
Cs 0.2118 0.0000 0.6206 (multiplicity 4)  2 Au 3.80, 5 Sn 3.86-3.95
Sn 0.0069 0.5000 0.3928 (multiplicity 4)  1 Au 2.73, 1 Sn 2.92
Sn 0.2207 0.5000 0.0590 (multiplicity 4)  3 Au 2.89-2.93, 2 Sn 3.11
Au 0.1573 0.5000 0.8157 (multiplicity 4)  4 Sn 2.73-2.93

A plane-wave DFT calculation with GGA-PBE was carried out for an optimized crystal structure of CsSn6Au4.

Total moment in μB per atom: 0.00
Crystal system: hexagonal
Formation energy from the elements in eV/atom: -0.18
E_tot in eV per formula unit: -39.9
Mass density in g/cm3: 9.5
DOS at the Fermi energy in states/eV/f.u.: 4.44
Volume in A^3/atom: 26.04

abc: 8.5825 8.5825 4.4902
angles: 90.00 90.00 120.00
Last column: nearest neighbours and their distance in Å.
Space group P-6m2 (No. 187)
Asymmetric unit:
Cs 0.0000 0.0000 0.0000 (multiplicity 1)  6 Sn 3.73, 6 Au 3.79
Sn 0.2006 0.4011 0.5000 (multiplicity 3)  4 Au 2.99-3.02
Sn 0.5337 0.0674 0.0000 (multiplicity 3)  5 Au 2.97-2.98
Au 0.3333 0.6667 0.0000 (multiplicity 1)  9 Sn 2.98-2.99
Au 0.4113 0.2056 0.5000 (multiplicity 3)  6 Sn 2.97-3.02, 2 Au 3.29

A plane-wave DFT calculation with GGA-PBE was carried out for an optimized crystal structure of CsSn8Au6.

Total moment in μB per atom: 0.00
Crystal system: trigonal
Formation energy from the elements in eV/atom: -0.09
E_tot in eV per formula unit: -53.9
Mass density in g/cm3: 9.7
DOS at the Fermi energy in states/eV/f.u.: 5.02
Volume in A^3/atom: 25.89

abc: 9.2697 9.2697 15.6582
angles: 90.00 90.00 120.00
Last column: nearest neighbours and their distance in Å.
Space group R-3 (No. 148, hexagonal axes)
Asymmetric unit:
Cs 0.0000 0.0000 0.0000 (multiplicity 3)  8 Sn 3.64, 6 Au 3.94
Sn 0.0000 0.0000 0.2323 (multiplicity 6)  3 Au 2.87
Sn 0.0037 0.3529 0.2058 (multiplicity 18)  4 Au 2.84-2.99
Au 0.0035 0.1997 0.3730 (multiplicity 18)  5 Sn 2.84-2.99, 3 Au 3.06-3.18

A plane-wave DFT calculation with GGA-PBE was carried out for an optimized crystal structure of Cs2SnAu4.

Total moment in μB per atom: 0.00
Crystal system: tetragonal
Formation energy from the elements in eV/atom: -0.18
Energy relative to the lowest polymorph listed for this composition in meV per atom: 0
E_tot in eV per formula unit: -20.0
Mass density in g/cm3: 7.3
DOS at the Fermi energy in states/eV/f.u.: 1.08
Volume in A^3/atom: 37.98

abc: 5.3740 5.3740 18.4122
angles: 90.00 90.00 90.00
Last column: nearest neighbours and their distance in Å.
Space group I4/mmm (No. 139)
Asymmetric unit:
Cs 0.0000 0.0000 0.1458 (multiplicity 4)  9 Au 3.74-3.80
Sn 0.0000 0.0000 0.5000 (multiplicity 2)  6 Au 2.69-2.78
Au 0.0000 0.0000 0.3488 (multiplicity 4)  1 Sn 2.78
Au 0.0000 0.5000 0.0000 (multiplicity 4)  2 Sn 2.69

A plane-wave DFT calculation with GGA-PBE was carried out for an optimized crystal structure of CsSn6Au5.

Total moment in μB per atom: 0.00
Crystal system: monoclinic
Formation energy from the elements in eV/atom: -0.18
E_tot in eV per formula unit: -43.4
Mass density in g/cm3: 9.4
DOS at the Fermi energy in states/eV/f.u.: 4.32
Volume in A^3/atom: 26.91

abc: 7.2943 12.1245 7.9402
angles: 90.00 113.12 90.00
Last column: nearest neighbours and their distance in Å.
Space group C2/m (No. 12)
Asymmetric unit:
Cs 0.0000 0.0000 0.0000 (multiplicity 2)  6 Sn 3.60-3.70, 2 Au 3.85
Sn 0.1605 0.5000 0.2452 (multiplicity 4)  5 Au 2.71-2.88
Sn 0.1621 0.2930 0.7211 (multiplicity 8)  4 Au 2.74-3.02
Au 0.0000 0.1153 0.5000 (multiplicity 4)  4 Sn 2.74-2.87, 1 Au 2.80
Au 0.0000 0.3173 0.0000 (multiplicity 4)  6 Sn 2.88-2.91
Au 0.0000 0.5000 0.5000 (multiplicity 2)  6 Sn 2.71-3.02

A plane-wave DFT calculation with GGA-PBE was carried out for an optimized crystal structure of CsSn4Au4.

Total moment in μB per atom: 0.00
Crystal system: tetragonal
Formation energy from the elements in eV/atom: -0.24
Energy relative to the lowest polymorph listed for this composition in meV per atom: 9
E_tot in eV per formula unit: -32.2
Mass density in g/cm3: 9.0
DOS at the Fermi energy in states/eV/f.u.: 3.28
Volume in A^3/atom: 28.75

abc: 9.6616 9.6616 5.5438
angles: 90.00 90.00 90.00
Last column: nearest neighbours and their distance in Å.
Space group P4_2/n (No. 86, origin choice 2)
Asymmetric unit:
Cs 0.2500 0.2500 0.2500 (multiplicity 2)  8 Au 3.79-4.14, 4 Sn 3.83
Sn 0.1210 0.6220 0.1650 (multiplicity 8)  5 Au 2.80-3.03
Au 0.0666 0.9062 0.1718 (multiplicity 8)  5 Sn 2.80-3.03, 1 Au 2.93